Here is a relaxed Cs2MnCl2F4 crystal from Alexandria via LeMat-Bulk. Energies are from PBE+U.

Summary:
Raw total energy, eV/atom: -4.45

Lattice parameters (Å, degrees): 7.0904 7.0904 8.6721 90.00 90.00 90.00
Closest atoms and distances in Å follow each position.
Space group I4/mmm (No. 139)
Inequivalent atoms, fractional coordinates:
Cs  0.0000  0.5000  0.2500 [4 per cell]  8 F 3.38, 4 Cl 3.55
Mn  0.0000  0.0000  0.0000 [2 per cell]  4 F 1.85
Cl  0.0000  0.0000  0.2685 [4 per cell]  1 Mn 2.33
F  0.1847  0.1847  0.0000 [8 per cell]  1 Mn 1.85